# 1
Below is crystalline CrFe2Re at its relaxed geometry, with properties calculated at the PBE level.

abc: 2.9839 4.0237 4.1618
angles: 90.00 90.00 90.00
Positions (direct):
Cr1 0.0000 0.0000 0.0000
Fe1 0.0000 0.5000 0.5000
Fe2 0.5000 0.0000 0.5000
Re1 0.5000 0.5000 0.0000

Summary:
magnetic moment = 4.691 μB/cell
DOS(E_F) = 3.69 states/eV/f.u.
crystal system = orthorhombic
formation enthalpy at 0 K = 0.090 eV/atom
density = 11.63 g cm⁻³
uncorrected energy = -38.6 eV per cell

=====

# 2
Below is crystalline CrFe2Re4 at its relaxed geometry, with properties calculated at the PBE level.

abc: 5.3118 6.3127 6.5762
angles: 114.04 101.57 101.76
Positions (direct):
Cr1 0.0000 0.0000 0.0000
Cr2 0.0947 0.7592 0.5749
Fe1 0.1177 0.6001 0.8494
Fe2 0.4738 0.1640 0.7091
Fe3 0.6000 0.7752 0.5718
Fe4 0.7941 0.8805 0.2804
Re1 0.1983 0.3274 0.4361
Re2 0.3005 0.8816 0.2909
Re3 0.4048 0.4488 0.1335
Re4 0.4911 0.0005 0.9810
Re5 0.6197 0.5959 0.8434
Re6 0.7072 0.3333 0.4487
Re7 0.8961 0.4417 0.1144
Re8 0.9847 0.1611 0.7137

Summary:
magnetic moment = 0.336 μB/cell
DOS(E_F) = 7.73 states/eV/f.u.
crystal system = triclinic
formation enthalpy at 0 K = 0.109 eV/atom
density = 16.14 g cm⁻³
uncorrected energy = -151.2 eV per cell

=====

# 3
Below is crystalline CrFeRe4 at its relaxed geometry, with properties calculated at the PBE level.

abc: 5.1182 5.1182 5.1182
angles: 60.00 60.00 60.00
Positions (direct):
Cr1 0.0000 0.0000 0.0000
Fe1 0.2500 0.2500 0.2500
Re1 0.1255 0.6248 0.6248
Re2 0.6248 0.1255 0.6248
Re3 0.6248 0.6248 0.1255
Re4 0.6248 0.6248 0.6248

Summary:
magnetic moment = 0.444 μB/cell
DOS(E_F) = 4.07 states/eV/f.u.
crystal system = cubic
formation enthalpy at 0 K = 0.505 eV/atom
density = 14.93 g cm⁻³
uncorrected energy = -64.9 eV per cell

=====

# 4
Below is crystalline Cr4FeRe at its relaxed geometry, with properties calculated at the PBE level.

abc: 4.7056 4.7056 4.7056
angles: 60.00 60.00 60.00
Positions (direct):
Cr1 0.1243 0.1243 0.1243
Cr2 0.1243 0.1243 0.6272
Cr3 0.1243 0.6272 0.1243
Cr4 0.6272 0.1243 0.1243
Fe1 0.7500 0.7500 0.7500
Re1 0.5000 0.5000 0.5000

Summary:
magnetic moment = 2.438 μB/cell
DOS(E_F) = 8.03 states/eV/f.u.
crystal system = cubic
formation enthalpy at 0 K = 0.118 eV/atom
density = 10.14 g cm⁻³
uncorrected energy = -58.7 eV per cell

=====

# 5
Below is crystalline CrFe2Re at its relaxed geometry, with properties calculated at the PBE level.

abc: 4.8519 4.8519 2.5361
angles: 98.79 98.79 117.92
Positions (direct):
Cr1 0.0000 0.0000 0.0000
Fe1 0.0000 0.5000 0.5000
Fe2 0.5000 0.0000 0.5000
Re1 0.5000 0.5000 0.0000

Summary:
magnetic moment = 4.738 μB/cell
DOS(E_F) = 3.74 states/eV/f.u.
crystal system = monoclinic
formation enthalpy at 0 K = 0.109 eV/atom
density = 11.53 g cm⁻³
uncorrected energy = -38.6 eV per cell

=====

# 6
Below is crystalline CrFeRe2 at its relaxed geometry, with properties calculated at the PBE level.

abc: 4.2240 4.2240 4.2240
angles: 60.00 60.00 60.00
Positions (direct):
Cr1 0.0000 0.0000 0.0000
Fe1 0.5000 0.5000 0.5000
Re1 0.2500 0.2500 0.2500
Re2 0.7500 0.7500 0.7500

Summary:
magnetic moment = 2.902 μB/cell
DOS(E_F) = 3.71 states/eV/f.u.
energy relative to the lowest polymorph listed for this composition = 0.45 kcal/mol of atoms
crystal system = cubic
formation enthalpy at 0 K = 0.116 eV/atom
density = 14.96 g cm⁻³
uncorrected energy = -42.5 eV per cell

=====

# 7
Below is crystalline CrFeRe2 at its relaxed geometry, with properties calculated at the PBE level.

abc: 3.0799 4.1474 4.2415
angles: 90.00 90.00 90.00
Positions (direct):
Cr1 0.0000 0.0000 0.0000
Fe1 0.5000 0.0000 0.5000
Re1 0.0000 0.5000 0.5000
Re2 0.5000 0.5000 0.0000

Summary:
magnetic moment = 3.227 μB/cell
DOS(E_F) = 2.87 states/eV/f.u.
energy relative to the lowest polymorph listed for this composition = 0.78 kcal/mol of atoms
crystal system = orthorhombic
formation enthalpy at 0 K = 0.130 eV/atom
density = 14.72 g cm⁻³
uncorrected energy = -42.5 eV per cell

=====

# 8
Below is crystalline CrFe2Re at its relaxed geometry, with properties calculated at the PBE level.

abc: 8.4621 8.4621 8.4621
angles: 17.91 17.91 17.91
Positions (direct):
Cr1 0.0000 0.0000 0.0000
Fe1 0.4906 0.4906 0.4906
Fe2 0.7444 0.7444 0.7444
Re1 0.2434 0.2434 0.2434

Summary:
magnetic moment = 2.879 μB/cell
DOS(E_F) = 6.56 states/eV/f.u.
crystal system = trigonal
formation enthalpy at 0 K = 0.230 eV/atom
density = 11.61 g cm⁻³
uncorrected energy = -38.1 eV per cell

=====

What is the formula in the sixth record?
CrFeRe2